No. 1
{"formula": "Rb2Cd4Pd", "functional": "PBE", "state": "relaxed", "formation_enthalpy_0k_ev_per_atom": -0.099, "space_group": "I4/mmm", "dos_ef_per_ev_atom": 0.44, "lattice": [[5.364, 0.000, 0.000], [0.000, 5.364, 0.000], [-2.682, -2.682, 9.312]], "species": ["Cd", "Cd", "Cd", "Cd", "Rb", "Rb", "Pd"], "fractional_positions": [[0.143, 0.143, 0.287], [0.500, 0.000, 0.000], [0.000, 0.500, 0.000], [0.857, 0.857, 0.713], [0.652, 0.652, 0.305], [0.348, 0.348, 0.695], [0.000, 0.000, 0.000]]}



No. 2
{"formula": "CaPmPu2Te4", "functional": "PBE", "state": "relaxed", "formation_energy_uncorrected_ev_per_atom": -1.279, "space_group": "P2/m", "dos_ef_per_ev_atom": 3.58, "lattice": [[4.451, 0.000, 0.000], [0.000, 7.792, 0.143], [0.000, -2.710, 7.218]], "species": ["Te", "Te", "Te", "Te", "Pu", "Pu", "Pm", "Ca"], "fractional_positions": [[0.000, 0.250, 0.750], [0.000, 0.750, 0.250], [0.500, 0.747, 0.748], [0.500, 0.253, 0.252], [0.500, 0.000, 0.500], [0.000, 0.500, 0.500], [0.000, 0.000, 0.000], [0.500, 0.500, 0.000]]}



No. 3
{"formula": "CsKHgBi2", "functional": "PBE", "state": "relaxed", "formation_enthalpy_0k_ev_per_atom": -0.292, "space_group": "Imm2", "dos_ef_per_ev_atom": 0.43, "lattice": [[4.744, 0.000, 0.000], [0.000, 5.964, 0.000], [-2.372, -2.982, 7.667]], "species": ["Cs", "Bi", "Bi", "K", "Hg"], "fractional_positions": [[0.442, 0.442, 0.883], [0.690, 0.190, 0.379], [0.056, 0.056, 0.112], [0.182, 0.682, 0.364], [0.843, 0.843, 0.686]]}



No. 4
{"formula": "PPt2Se", "functional": "PBE", "state": "relaxed", "formation_energy_uncorrected_ev_per_atom": -0.174, "space_group": "R-3m", "e_above_lowest_polymorph_mev_per_atom": 107.1, "dos_ef_per_ev_atom": 0.77, "lattice": [[5.948, -1.838, 0.008], [5.948, 1.838, 0.008], [5.377, 0.000, 3.139]], "species": ["Pt", "Pt", "P", "Se"], "fractional_positions": [[0.765, 0.765, 0.765], [0.235, 0.235, 0.235], [0.500, 0.500, 0.500], [0.000, 0.000, 0.000]]}



No. 5
{"formula": "NiHg2Rh2", "functional": "PBE", "state": "relaxed", "formation_enthalpy_0k_ev_per_atom": 0.287, "space_group": "P4/mbm", "dos_ef_per_ev_atom": 1.76, "lattice": [[6.388, 0.000, 0.000], [0.000, 6.388, 0.000], [0.000, 0.000, 4.314]], "species": ["Hg", "Hg", "Hg", "Hg", "Ni", "Ni", "Rh", "Rh", "Rh", "Rh"], "fractional_positions": [[0.829, 0.329, 0.500], [0.671, 0.829, 0.500], [0.329, 0.171, 0.500], [0.171, 0.671, 0.500], [0.500, 0.500, 0.000], [0.000, 0.000, 0.000], [0.139, 0.361, 0.000], [0.861, 0.639, 0.000], [0.361, 0.861, 0.000], [0.639, 0.139, 0.000]]}



No. 6
{"formula": "NaPuF4", "functional": "PBE", "state": "relaxed", "formation_energy_uncorrected_ev_per_atom": -3.333, "space_group": "P1", "dos_ef_per_ev_atom": 1.76, "lattice": [[6.183, -0.007, -0.011], [-3.089, 6.552, 0.078], [-3.075, -2.234, 6.132]], "species": ["Na", "Na", "Na", "Pu", "Pu", "Pu", "F", "F", "F", "F", "F", "F", "F", "F", "F", "F", "F", "F"], "fractional_positions": [[0.833, 0.166, 0.517], [0.341, 0.678, 0.991], [0.224, 0.895, 0.559], [0.993, 0.988, 0.995], [0.494, 0.498, 0.492], [0.734, 0.397, 0.068], [0.897, 0.615, 0.863], [0.784, 0.186, 0.826], [0.855, 0.493, 0.448], [0.858, 0.876, 0.612], [0.240, 0.650, 0.283], [0.351, 0.377, 0.103], [0.978, 0.224, 0.261], [0.808, 0.761, 0.172], [0.492, 0.739, 0.749], [0.347, 0.311, 0.712], [0.389, 0.022, 0.984], [0.380, 0.123, 0.368]]}



No. 7
{"formula": "FeTc2Os", "functional": "PBE", "state": "relaxed", "formation_enthalpy_0k_ev_per_atom": 0.083, "space_group": "Cm", "e_above_lowest_polymorph_mev_per_atom": 4.8, "dos_ef_per_ev_atom": 1.17, "lattice": [[2.723, -0.006, 0.003], [0.009, 4.662, -0.652], [-1.377, -2.687, 9.066]], "species": ["Tc", "Tc", "Tc", "Tc", "Fe", "Fe", "Os", "Os"], "fractional_positions": [[0.164, 0.977, 0.815], [0.920, 0.904, 0.327], [0.420, 0.404, 0.327], [0.664, 0.477, 0.815], [0.544, 0.940, 0.573], [0.044, 0.441, 0.573], [0.291, 0.854, 0.068], [0.791, 0.354, 0.068]]}



No. 8
{"formula": "Mg2SbCl", "functional": "PBE", "state": "relaxed", "formation_energy_uncorrected_ev_per_atom": -0.658, "space_group": "Pmmm", "e_above_lowest_polymorph_mev_per_atom": 83.3, "dos_ef_per_ev_atom": 0.17, "lattice": [[3.570, 0.000, 0.000], [0.000, 4.067, -0.022], [0.000, 0.035, 7.014]], "species": ["Mg", "Mg", "Cl", "Sb"], "fractional_positions": [[0.000, 0.750, 0.041], [0.000, 0.750, 0.459], [0.500, 0.750, 0.750], [0.500, 0.250, 0.250]]}